1.
Computed, not measured: CaGeMo2H after structural relaxation at the PBE level of DFT.

Lattice parameters (Å, degrees): 4.725 4.725 5.618 90.00 90.00 90.00
Atoms (fractional coordinates):
Ca: 0.000 0.000 0.000
Ge: 0.000 0.000 0.500
Mo: 0.000 0.500 0.500
Mo: 0.500 0.000 0.500
H: 0.500 0.500 0.000

Symmetry   P4/mmm, No. 123
E   -24.0 eV per cell
DOS at the Fermi energy   5.4 states/eV per cell



2.
Computed, not measured: GaSn2Ir2 after structural relaxation at the PBE level of DFT.

Lattice parameters (Å, degrees): 7.905 7.905 3.008 90.00 90.00 90.00
Atoms (fractional coordinates):
Ga: 0.000 0.000 0.000
Ga: 0.500 0.500 0.000
Sn: 0.155 0.345 0.500
Sn: 0.345 0.845 0.500
Sn: 0.655 0.155 0.500
Sn: 0.845 0.655 0.500
Ir: 0.142 0.642 0.000
Ir: 0.358 0.142 0.000
Ir: 0.642 0.858 0.000
Ir: 0.858 0.358 0.000

Symmetry   P4/mbm, No. 127
ΔE_f   -0.0340 eV/atom
DOS at the Fermi energy   4.3 states/eV per cell



3.
Computed, not measured: BaTe2As after structural relaxation at the PBE level of DFT.

Lattice parameters (Å, degrees): 5.031 4.889 6.763 90.00 111.26 90.00
Atoms (fractional coordinates):
Ba: 0.000 0.000 0.000
Te: 0.440 0.500 0.891
Te: 0.651 0.000 0.429
As: 0.789 0.500 0.298

Symmetry   Pm, No. 6
DOS at the Fermi energy   1.2 states/eV per cell
Formation energy without anion corrections   -0.780 eV per atom



4.
Computed, not measured: Li4Cu5S6 after structural relaxation at the PBE level of DFT.

Lattice parameters (Å, degrees): 9.097 9.097 13.620 90.00 90.00 155.79
Atoms (fractional coordinates):
Li: 0.018 0.982 0.500
Li: 0.020 0.980 0.742
Li: 0.195 0.805 0.020
Li: 0.199 0.801 0.677
Li: 0.801 0.199 0.177
Li: 0.805 0.195 0.520
Li: 0.980 0.020 0.242
Li: 0.982 0.018 0.000
Cu: 0.130 0.870 0.350
Cu: 0.286 0.714 0.354
Cu: 0.361 0.639 0.703
Cu: 0.365 0.635 0.993
Cu: 0.427 0.573 0.402
Cu: 0.573 0.427 0.902
Cu: 0.635 0.365 0.493
Cu: 0.639 0.361 0.203
Cu: 0.714 0.286 0.854
Cu: 0.870 0.130 0.850
S: 0.136 0.864 0.842
S: 0.211 0.789 0.494
S: 0.212 0.788 0.213
S: 0.437 0.563 0.570
S: 0.448 0.552 0.122
S: 0.448 0.552 0.849
S: 0.552 0.448 0.349
S: 0.552 0.448 0.622
S: 0.563 0.437 0.070
S: 0.788 0.212 0.713
S: 0.789 0.211 0.994
S: 0.864 0.136 0.342

Symmetry   Cmc2_1, No. 36
DOS at the Fermi energy   11.9 states/eV per cell
Formation energy without anion corrections   -0.596 eV per atom



5.
Computed, not measured: HgTe2Pt after structural relaxation at the PBE level of DFT.

Lattice parameters (Å, degrees): 12.210 12.210 12.210 14.93 14.93 14.93
Atoms (fractional coordinates):
Hg: 0.000 0.000 0.000
Te: 0.428 0.428 0.428
Te: 0.572 0.572 0.572
Pt: 0.500 0.500 0.500

Symmetry   R-3m, No. 166
DOS at the Fermi energy   2.2 states/eV per cell
Formation energy without anion corrections   0.113 eV per atom



6.
Computed, not measured: ZrNb2Tl2 after structural relaxation at the PBE level of DFT.

Lattice parameters (Å, degrees): 8.426 8.426 3.084 90.00 90.00 90.00
Atoms (fractional coordinates):
Zr: 0.000 0.000 0.000
Zr: 0.500 0.500 0.000
Nb: 0.113 0.387 0.000
Nb: 0.387 0.887 0.000
Nb: 0.613 0.113 0.000
Nb: 0.887 0.613 0.000
Tl: 0.183 0.683 0.500
Tl: 0.317 0.183 0.500
Tl: 0.683 0.817 0.500
Tl: 0.817 0.317 0.500

Symmetry   P4/mbm, No. 127
ΔE_f   0.4138 eV/atom
DOS at the Fermi energy   8.3 states/eV per cell



7.
Computed, not measured: DyY2ZnN after structural relaxation at the PBE level of DFT.

Lattice parameters (Å, degrees): 4.782 4.782 4.777 90.00 90.00 90.00
Atoms (fractional coordinates):
Dy: 0.000 0.000 0.000
Y: 0.000 0.500 0.500
Y: 0.500 0.000 0.500
Zn: 0.500 0.500 0.000
N: 0.000 0.000 0.500

Symmetry   P4/mmm, No. 123
DOS at the Fermi energy   5.2 states/eV per cell
Formation energy without anion corrections   -0.798 eV per atom



8.
Computed, not measured: Ac4GePtS2 after structural relaxation at the PBE level of DFT.

Lattice parameters (Å, degrees): 7.665 4.430 7.729 90.00 108.90 90.00
Atoms (fractional coordinates):
Ac: 0.245 0.000 0.246
Ac: 0.247 0.500 0.751
Ac: 0.753 0.500 0.249
Ac: 0.755 0.000 0.754
Ge: 0.500 0.000 0.000
Pt: 0.000 0.500 0.000
S: 0.000 0.000 0.500
S: 0.500 0.500 0.500

Symmetry   P2/m, No. 10
DOS at the Fermi energy   6.2 states/eV per cell
Formation energy without anion corrections   -1.436 eV per atom